A plane-wave DFT calculation with GGA-PBE was carried out for a relaxed V2Fe2Pd crystal.

Calculated values
Space group   P4/mbm, No. 127
VASP energy   -81.471 eV for the cell shown
Formation energy   -0.08 eV per atom
Energy relative to the lowest polymorph listed for this composition   0.00 eV/f.u.
DOS(E_F)   1.11 states/eV per atom

Cell: 6.7442 6.7442 2.7646 Å, 90.00 90.00 90.00°
With the nearest neighbours (Å) after each atom.
Fractional positions:
V1 0.1601 0.3399 0.0000  6 Fe 2.40-2.43
V2 0.3399 0.8399 0.0000  6 Fe 2.40-2.43
V3 0.6601 0.1601 0.0000  6 Fe 2.40-2.43
V4 0.8399 0.6601 0.0000  6 Fe 2.40-2.43
Fe1 0.1343 0.6343 0.5000  6 V 2.40-2.43, 1 Fe 2.56, 2 Pd 2.63
Fe2 0.3657 0.1343 0.5000  6 V 2.40-2.43, 1 Fe 2.56, 2 Pd 2.63
Fe3 0.6343 0.8657 0.5000  6 V 2.40-2.43, 1 Fe 2.56, 2 Pd 2.63
Fe4 0.8657 0.3657 0.5000  6 V 2.40-2.43, 1 Fe 2.56, 2 Pd 2.63
Pd1 0.0000 0.0000 0.5000  4 Fe 2.63, 2 Pd 2.76, 8 V 2.89
Pd2 0.5000 0.5000 0.5000  4 Fe 2.63, 2 Pd 2.76, 8 V 2.89